[1]
This record from the Alexandria database describes a geometry-optimized MnAlSN2 structure. The functional is PBEsol.

It has space group P4/mmm (No. 123), with a = 3.5455 Å, b = 3.5455 Å, c = 4.8514 Å, α = 90.00°, β = 90.00° and γ = 90.00°. The asymmetric unit holds Mn at (0.0000, 0.0000, 0.0000), Al at (0.5000, 0.5000, 0.5000), S at (0.0000, 0.0000, 0.5000) and N at (0.0000, 0.5000, 0.0000).

The value obtained for the uncorrected formation energy is 231 meV per atom.

[2]
This record from the Alexandria database describes a geometry-optimized NaMn3Al structure. The functional is PBEsol.

It has space group Pm-3m (No. 221), with a = 4.7027 Å, b = 4.7027 Å, c = 4.7027 Å, α = 90.00°, β = 90.00° and γ = 90.00°. The asymmetric unit holds Na at (0.0000, 0.0000, 0.0000), Mn at (0.0000, 0.5000, 0.5000) and Al at (0.5000, 0.5000, 0.5000).

The formation energy comes out at 1.1767 eV/atom.

[3]
This record from the Alexandria database describes a geometry-optimized Mn2NbAlOs structure. The functional is PBEsol.

It has space group P4/mmm (No. 123), with a = 4.2116 Å, b = 4.2116 Å, c = 4.4137 Å, α = 90.00°, β = 90.00° and γ = 90.00°. The asymmetric unit holds Mn at (0.0000, 0.5000, 0.0000), Nb at (0.0000, 0.0000, 0.5000), Al at (0.5000, 0.5000, 0.0000) and Os at (0.5000, 0.5000, 0.5000).

The formation energy comes out at 1.1488 eV/atom.

[4]
This record from the Alexandria database describes a geometry-optimized MnNbAlRu2 structure. The functional is PBEsol.

It has space group P4/mmm (No. 123), with a = 4.3269 Å, b = 4.3269 Å, c = 4.2887 Å, α = 90.00°, β = 90.00° and γ = 90.00°. The asymmetric unit holds Mn at (0.0000, 0.0000, 0.0000), Nb at (0.5000, 0.5000, 0.5000), Al at (0.0000, 0.0000, 0.5000) and Ru at (0.0000, 0.5000, 0.0000).

The formation energy comes out at 0.8988 eV/atom.